# 1
Ta2CoPt: relaxed, GGA-PBEsol.

The space group is F-43m (No. 216) and the conventional cell measures 6.195, 6.195 and 6.195 Å, with angles of 90.00, 90.00 and 90.00 degrees. The inequivalent atoms are Ta at (0.000, 0.000, 0.000), Ta at (0.250, 0.250, 0.250), Co at (0.000, 0.000, 0.500) and Pt at (0.250, 0.250, 0.750).

The crystal system is cubic. The formation energy from the elements comes out at -0.15 eV/atom.



# 2
Y2TcIr: relaxed, GGA-PBEsol.

The space group is F-43m (No. 216) and the conventional cell measures 6.658, 6.658 and 6.658 Å, with angles of 90.00, 90.00 and 90.00 degrees. The inequivalent atoms are Y at (0.000, 0.000, 0.000), Y at (0.250, 0.250, 0.250), Tc at (0.000, 0.000, 0.500) and Ir at (0.250, 0.250, 0.750).

The crystal system is cubic. The formation energy from the elements comes out at 0.06 eV/atom.



# 3
Zn2BiMoS: relaxed, GGA-PBEsol.

The space group is P4/mmm (No. 123) and the conventional cell measures 4.675, 4.675 and 4.460 Å, with angles of 90.00, 90.00 and 90.00 degrees. The inequivalent atoms are Zn at (0.000, 0.500, 0.000), Bi at (0.000, 0.000, 0.500), Mo at (0.500, 0.500, 0.500) and S at (0.500, 0.500, 0.000).

As for the formation energy without anion corrections: 2.55 eV per formula unit. The crystal system is tetragonal.



# 4
Sr2HgSb: relaxed, GGA-PBEsol.

The space group is P4/mmm (No. 123) and the conventional cell measures 5.362, 5.362 and 4.299 Å, with angles of 90.00, 90.00 and 90.00 degrees. The inequivalent atoms are Sr at (0.000, 0.500, 0.000), Hg at (0.000, 0.000, 0.500) and Sb at (0.500, 0.500, 0.500).

As for the formation energy without anion corrections: -3.30 eV per formula unit. The crystal system is tetragonal. The energy above the most stable polymorph in this dataset is 0.0182 eV per atom.



# 5
RbCCl2: relaxed, GGA-PBEsol.

The space group is Fm-3m (No. 225) and the conventional cell measures 7.118, 7.118 and 7.118 Å, with angles of 90.00, 90.00 and 90.00 degrees. The inequivalent atoms are Rb at (0.000, 0.000, 0.000), C at (0.000, 0.000, 0.500) and Cl at (0.250, 0.250, 0.250).

As for the formation energy without anion corrections: 3.62 eV per formula unit. The crystal system is cubic.



# 6
PuNi5: relaxed, GGA-PBEsol.

The space group is P6/mmm (No. 191) and the conventional cell measures 4.7924, 4.7924 and 3.8918 Å, with angles of 90.00, 90.00 and 120.00 degrees. The inequivalent atoms are Pu at (0.0000, 0.0000, 0.0000), Ni at (0.0000, 0.5000, 0.5000) and Ni at (0.3333, 0.6667, 0.0000).

The crystal system is hexagonal. The formation energy from the elements comes out at -0.10 eV/atom.



# 7
MnPt2Br: relaxed, GGA-PBEsol.

The space group is Cmmm (No. 65) and the conventional cell measures 5.588, 7.886 and 2.927 Å, with angles of 90.00, 90.00 and 90.00 degrees. The inequivalent atoms are Mn at (0.000, 0.000, 0.000), Pt at (0.250, 0.250, 0.500) and Br at (0.000, 0.500, 0.000).

As for the formation energy without anion corrections: 1.97 eV per formula unit. The crystal system is orthorhombic.



# 8
Mn2Ir: relaxed, GGA-PBEsol.

The space group is Cmcm (No. 63) and the conventional cell measures 2.596, 13.269 and 4.048 Å, with angles of 90.00, 90.00 and 90.00 degrees. The inequivalent atoms are Mn at (0.000, 0.056, 0.250), Mn at (0.000, 0.277, 0.750) and Ir at (0.000, 0.389, 0.250).

The crystal system is orthorhombic. The formation energy from the elements comes out at -0.14 eV/atom.



# 9
Y2InAu: relaxed, GGA-PBEsol.

The space group is P4/mmm (No. 123) and the conventional cell measures 5.132, 5.132 and 3.633 Å, with angles of 90.00, 90.00 and 90.00 degrees. The inequivalent atoms are Y at (0.000, 0.500, 0.000), In at (0.000, 0.000, 0.500) and Au at (0.500, 0.500, 0.500).

The crystal system is tetragonal. The formation energy from the elements comes out at -0.66 eV/atom.



# 10
BP2OsS: relaxed, GGA-PBEsol.

The space group is P4/mmm (No. 123) and the conventional cell measures 3.901, 3.901 and 4.087 Å, with angles of 90.00, 90.00 and 90.00 degrees. The inequivalent atoms are B at (0.000, 0.000, 0.000), P at (0.000, 0.500, 0.000), Os at (0.500, 0.500, 0.500) and S at (0.000, 0.000, 0.500).

As for the formation energy without anion corrections: 4.68 eV per formula unit. The crystal system is tetragonal.



# 11
Sr2TiMnO6: relaxed, GGA-PBEsol.

The space group is P4/mmm (No. 123) and the conventional cell measures 3.853, 3.853 and 7.640 Å, with angles of 90.00, 90.00 and 90.00 degrees. The inequivalent atoms are Sr at (0.000, 0.000, 0.243), Ti at (0.500, 0.500, 0.500), Mn at (0.500, 0.500, 0.000), O at (0.000, 0.500, 0.000), O at (0.000, 0.500, 0.500) and O at (0.500, 0.500, 0.244).

As for the formation energy without anion corrections: -27.40 eV per formula unit. The crystal system is tetragonal. The energy above the most stable polymorph in this dataset is 0.0286 eV per atom.



# 12
RbCuGe2Te: relaxed, GGA-PBEsol.

The space group is P4/mmm (No. 123) and the conventional cell measures 5.500, 5.500 and 6.021 Å, with angles of 90.00, 90.00 and 90.00 degrees. The inequivalent atoms are Rb at (0.000, 0.000, 0.000), Cu at (0.500, 0.500, 0.500), Ge at (0.000, 0.500, 0.000) and Te at (0.000, 0.000, 0.500).

As for the formation energy without anion corrections: 9.37 eV per formula unit. The crystal system is tetragonal.



Number 1: DOS at the Fermi energy 16.1 states/eV/cell. Number 2: DOS at the Fermi energy 16.5 states/eV/cell. Number 3: DOS at the Fermi energy 3.5 states/eV/cell. Number 4: DOS at the Fermi energy 1.1 states/eV/cell. Number 5: DOS at the Fermi energy 17.5 states/eV/cell. Number 6: DOS at the Fermi energy 15.1 states/eV/cell. Number 7: DOS at the Fermi energy 5.5 states/eV/cell. Number 8: DOS at the Fermi energy 12.5 states/eV/cell. Number 9: DOS at the Fermi energy 3.3 states/eV/cell. Number 10: DOS at the Fermi energy 3.0 states/eV/cell. Number 11: DOS at the Fermi energy 2.6 states/eV/cell. Number 12: DOS at the Fermi energy 4.9 states/eV/cell.